w:
Density functional theory data (PBE) for AcPrNdY after structural relaxation.

Values from the calculation:
Theoretical density: 6.71 g/cm3
Total magnetic moment: 0.0 Bohr magnetons per cell
N(E_F): 7.2 states/eV/f.u.

The structure in extended XYZ format:
```
4
Lattice="5.284 0.000 0.000 0.000 5.304 0.000 -2.642 -2.652 5.303" Properties=species:S:1:pos:R:3 pbc="T T T"
Ac 0.000 0.000 4.724
Pr 0.000 2.652 2.078
Nd 2.642 0.000 2.070
Y 2.642 2.652 4.727
```


x:
Density functional theory data (PBE) for AcPrNdY after structural relaxation.

Values from the calculation:
Theoretical density: 6.71 g/cm3
Total magnetic moment: 0.0 Bohr magnetons per cell
N(E_F): 8.3 states/eV/f.u.

The structure in extended XYZ format:
```
4
Lattice="5.946 0.000 0.000 2.973 5.149 0.000 2.973 1.716 4.855" Properties=species:S:1:pos:R:3 pbc="T T T"
Nd 2.973 1.716 1.214
Pr 5.946 3.433 2.427
Ac 0.000 0.000 0.000
Y 8.919 5.149 3.641
```


Most stable structure: w


w:
Density functional theory data (PBE) for Ac2NdPt after structural relaxation.

Values from the calculation:
Theoretical density: 9.43 g/cm3
Total magnetic moment: 0.0 Bohr magnetons per cell
N(E_F): 4.1 states/eV/f.u.

The structure in extended XYZ format:
```
16
Lattice="-0.911 -5.006 -4.732 6.993 -2.557 1.358 -3.816 -6.432 7.539" Properties=species:S:1:pos:R:3 pbc="T T T"
Nd -1.463 -5.913 -2.046
Nd 3.728 -8.082 6.211
Nd 2.200 -6.279 -0.504
Nd 0.065 -7.716 4.669
Ac -2.076 -10.970 3.560
Ac 1.562 -11.471 4.973
Ac -0.673 -8.604 0.787
Ac -0.700 -4.890 1.964
Ac 2.965 -9.106 2.201
Ac 2.938 -5.391 3.378
Ac 0.703 -2.524 -0.808
Ac 4.341 -3.025 0.605
Pt 1.635 -2.842 2.142
Pt 4.774 -6.085 0.965
Pt 0.630 -11.153 2.023
Pt -2.509 -7.910 3.200
```


x:
Density functional theory data (PBE) for Ac2NdPt after structural relaxation.

Values from the calculation:
Theoretical density: 8.76 g/cm3
Total magnetic moment: 0.0 Bohr magnetons per cell
N(E_F): 5.2 states/eV/f.u.

The structure in extended XYZ format:
```
4
Lattice="4.212 0.000 0.000 2.106 3.648 0.000 2.106 1.216 9.788" Properties=species:S:1:pos:R:3 pbc="T T T"
Nd 4.212 2.432 4.895
Pt 4.212 2.432 0.003
Ac 2.106 1.216 1.808
Ac 2.106 1.216 7.977
```


Most stable structure: w


w:
Density functional theory data (PBE) for Ac2NdPt after structural relaxation.

Values from the calculation:
Theoretical density: 8.14 g/cm3
Total magnetic moment: 0.7 Bohr magnetons per cell
N(E_F): 5.9 states/eV/f.u.

The structure in extended XYZ format:
```
4
Lattice="-2.928 1.769 -2.267 -3.830 0.273 1.446 0.166 10.511 4.276" Properties=species:S:1:pos:R:3 pbc="T T T"
Ac -5.949 5.332 0.702
Ac -0.643 7.222 2.754
Nd 0.000 0.000 0.000
Pt -3.296 6.277 1.728
```


x:
Density functional theory data (PBE) for Ac2NdPt after structural relaxation.

Values from the calculation:
Theoretical density: 9.68 g/cm3
Total magnetic moment: 0.0 Bohr magnetons per cell
N(E_F): 5.8 states/eV/f.u.

The structure in extended XYZ format:
```
4
Lattice="-2.764 -2.411 1.180 2.162 -0.996 3.030 -3.784 6.745 4.918" Properties=species:S:1:pos:R:3 pbc="T T T"
Ac -3.045 5.427 3.957
Ac -0.739 1.318 0.961
Pt -0.301 -1.704 2.105
Nd -2.193 1.669 4.564
```


y:
Density functional theory data (PBE) for Ac2NdPt after structural relaxation.

Values from the calculation:
Theoretical density: 9.40 g/cm3
Total magnetic moment: 0.0 Bohr magnetons per cell
N(E_F): 5.7 states/eV/f.u.

The structure in extended XYZ format:
```
8
Lattice="4.069 0.000 0.000 -2.034 6.510 0.000 0.000 0.000 10.578" Properties=species:S:1:pos:R:3 pbc="T T T"
Ac 2.033 1.788 0.709
Ac 0.002 4.722 5.998
Ac 0.002 4.722 9.868
Ac 2.033 1.788 4.580
Nd 0.000 1.212 7.933
Nd 2.035 5.298 2.644
Pt -0.002 3.098 2.644
Pt 2.037 3.412 7.933
```


Most stable structure: y


w:
Density functional theory data (PBE) for AcNd3Pt after structural relaxation.

Values from the calculation:
Theoretical density: 8.62 g/cm3
Total magnetic moment: 0.0 Bohr magnetons per cell
N(E_F): 5.7 states/eV/f.u.

The structure in extended XYZ format:
```
20
Lattice="-1.640 -4.596 -5.972 2.418 -6.721 4.508 -10.334 1.357 1.793" Properties=species:S:1:pos:R:3 pbc="T T T"
Nd -4.048 -0.654 0.316
Nd -2.830 -7.026 1.304
Nd 0.052 -8.885 0.545
Nd -5.177 -5.936 -1.943
Nd -5.508 -9.306 0.013
Nd -6.725 -2.934 -0.976
Nd 0.636 -5.130 0.820
Nd -7.211 -4.142 5.067
Nd -4.379 -4.024 2.272
Nd -2.345 -5.818 -4.738
Nd -9.607 -1.075 -0.217
Nd -10.191 -4.830 -0.491
Ac -6.994 -1.303 2.548
Ac -7.032 -6.026 1.214
Ac -2.524 -3.934 -0.885
Ac -2.561 -8.657 -2.219
Pt 0.799 -7.280 2.949
Pt -10.355 -2.679 -2.620
Pt -5.170 -3.307 -3.450
Pt -4.386 -6.653 3.779
```


x:
Density functional theory data (PBE) for AcNd3Pt after structural relaxation.

Values from the calculation:
Theoretical density: 7.54 g/cm3
Total magnetic moment: 0.1 Bohr magnetons per cell
N(E_F): 11.9 states/eV/f.u.

The structure in extended XYZ format:
```
5
Lattice="-4.173 -0.414 3.905 -1.341 -5.205 -1.986 3.691 -2.360 3.694" Properties=species:S:1:pos:R:3 pbc="T T T"
Nd 1.846 -1.180 1.847
Nd -0.671 -2.603 -0.993
Nd -2.087 -0.207 1.953
Ac -0.912 -3.990 2.807
Pt 0.000 0.000 0.000
```


Most stable structure: w